The following is a PBE+U calculation of a relaxed Ba2TiFeO6 crystal, from Alexandria.

```
30
Lattice="5.759 0.000 0.000 -2.880 4.987 0.000 0.000 0.000 14.140" Properties=species:S:1:pos:R:3 pbc="T T T"
Ti 0.000 0.000 7.118
O 4.318 0.832 1.187
O 1.441 0.832 1.187
O 2.880 3.295 5.910
Fe 0.000 3.325 11.881
O 1.466 0.846 5.910
O -1.483 4.181 8.183
Ti 0.000 0.000 14.012
O 0.000 4.805 10.700
Ti 2.880 1.662 2.087
Fe 0.000 3.325 9.237
O -1.282 2.585 10.700
O 1.282 2.585 10.700
O 0.000 1.643 13.038
Fe 2.880 1.662 4.845
O 4.293 0.846 5.910
Ba 0.000 3.325 1.198
O 4.151 2.397 3.603
Ba 2.880 1.662 12.762
O 1.483 4.181 8.183
Ba 2.880 1.662 8.294
O 1.457 4.166 13.038
Ba 0.000 0.000 3.556
O 1.608 2.397 3.603
O 0.000 1.613 8.183
O 2.880 0.194 3.603
O 2.880 3.323 1.187
O -1.457 4.166 13.038
Ba 0.000 0.000 10.589
Ba 0.000 3.325 5.749
```

Results
The total energy comes out at -7.15 eV per atom. The symmetry is No. 156. Its crystal system is trigonal.